DFT (PBE) results for a relaxed BeWN2 crystal.

Lattice parameters (Å, degrees): 5.1960 5.1960 5.1960 129.99 129.99 73.42
Atoms (fractional coordinates):
Be  0.0000  0.0000  0.0000
Be  0.7500  0.2500  0.5000
N  0.6684  0.1250  0.0434
N  0.0816  0.6250  0.9566
N  0.8750  0.9184  0.5434
N  0.3750  0.3316  0.4566
W  0.2500  0.7500  0.5000
W  0.5000  0.5000  0.0000

Summary:
uncorrected energy	-69.08	eV per cell